# 1
Below is a geometry-optimized Cs2Au2O3 structure, with properties calculated at the PBE level.

Density   6894 kg/m3
E   -3.953 eV/atom

Cell: 6.9849 6.9849 7.2495 Å, 98.58 98.58 98.13°
Atoms (fractional coordinates):
Cs1 0.1865 0.3106 0.1038
Cs2 0.3106 0.1865 0.6038
Cs3 0.6894 0.8135 0.3962
Cs4 0.8135 0.6894 0.8962
Au1 0.2275 0.6837 0.5218
Au2 0.3163 0.7725 0.9782
Au3 0.6837 0.2275 0.0218
Au4 0.7725 0.3163 0.4782
O1 0.0901 0.7647 0.2830
O2 0.2353 0.9099 0.2170
O3 0.3862 0.6138 0.7500
O4 0.6138 0.3862 0.2500
O5 0.7647 0.0901 0.7830
O6 0.9099 0.2353 0.7170

---

# 2
Below is a geometry-optimized LiScPd2 structure, with properties calculated at the PBE level.

M_tot   0.00 μB/atom
Density   6501 kg/m3
E above lowest polymorph   84.2 meV per atom

Cell: 4.2772 4.2772 8.5367 Å, 90.00 90.00 120.00°
Atoms (fractional coordinates):
Li1 0.0000 0.0000 0.0000
Li2 0.0000 0.0000 0.5000
Sc1 0.3333 0.6667 0.2500
Sc2 0.6667 0.3333 0.7500
Pd1 0.3333 0.6667 0.5885
Pd2 0.3333 0.6667 0.9115
Pd3 0.6667 0.3333 0.0885
Pd4 0.6667 0.3333 0.4115

---

# 3
Below is a geometry-optimized FeMoAsAu structure, with properties calculated at the PBE level.

M_tot   0.52 μB/atom
Density   11509 kg/m3
E above lowest polymorph   0.0 meV per atom

Cell: 4.4217 4.4217 4.4217 Å, 60.00 60.00 60.00°
Atoms (fractional coordinates):
Fe1 0.0000 0.0000 0.0000
Mo1 0.5000 0.5000 0.5000
As1 0.7500 0.7500 0.7500
Au1 0.2500 0.2500 0.2500

---

# 4
Below is a geometry-optimized ZrTa2Cd structure, with properties calculated at the PBE level.

M_tot   0.00 μB/atom
Density   11990 kg/m3
Formation enthalpy at 0 K   0.877 eV per formula unit

Cell: 4.8025 4.8025 4.8025 Å, 60.00 60.00 60.00°
Atoms (fractional coordinates):
Zr1 0.0000 0.0000 0.0000
Ta1 0.5000 0.5000 0.5000
Ta2 0.7500 0.7500 0.7500
Cd1 0.2500 0.2500 0.2500

---

# 5
Below is a geometry-optimized CuAg4 structure, with properties calculated at the PBE level.

Density   9814 kg/m3
Formation enthalpy at 0 K   0.292 eV per formula unit
E above lowest polymorph   34.0 meV per atom

Cell: 7.6102 7.6102 5.7825 Å, 101.14 101.14 30.70°
Atoms (fractional coordinates):
Cu1 0.0969 0.0969 0.0480
Cu2 0.9031 0.9031 0.9520
Ag1 0.0999 0.0999 0.5507
Ag2 0.3004 0.3004 0.1457
Ag3 0.3031 0.3031 0.6573
Ag4 0.4992 0.4992 0.2397
Ag5 0.5008 0.5008 0.7603
Ag6 0.6969 0.6969 0.3427
Ag7 0.6996 0.6996 0.8543
Ag8 0.9001 0.9001 0.4493

---

# 6
Below is a geometry-optimized PmIn3 structure, with properties calculated at the PBE level.

M_tot   0.00 μB/atom
Density   7901 kg/m3
E   -3.703 eV/atom

Cell: 4.6855 4.6855 4.6855 Å, 90.00 90.00 90.00°
Atoms (fractional coordinates):
Pm1 0.0000 0.0000 0.0000
In1 0.0000 0.5000 0.5000
In2 0.5000 0.0000 0.5000
In3 0.5000 0.5000 0.0000

---

# 7
Below is a geometry-optimized ZrTlTe2AuSe structure, with properties calculated at the PBE level.

M_tot   0.00 μB/atom
Density   7816 kg/m3
E above lowest polymorph   62.7 meV per atom

Cell: 8.6254 4.1159 10.5857 Å, 90.00 110.82 90.00°
Atoms (fractional coordinates):
Zr1 0.2110 0.2500 0.1839
Zr2 0.7890 0.7500 0.8161
Tl1 0.2201 0.7500 0.6981
Tl2 0.7799 0.2500 0.3019
Te1 0.0544 0.2500 0.8743
Te2 0.4292 0.7500 0.1377
Te3 0.5708 0.2500 0.8623
Te4 0.9456 0.7500 0.1257
Au1 0.4193 0.7500 0.3918
Au2 0.5807 0.2500 0.6082
Se1 0.2387 0.2500 0.4406
Se2 0.7613 0.7500 0.5594

---

# 8
Below is a geometry-optimized Gd2YZn3Ga2Au structure, with properties calculated at the PBE level.

M_tot   0.00 μB/atom
Density   8332 kg/m3
E   -3.813 eV/atom

Cell: 4.2741 7.0946 7.0946 Å, 119.88 90.00 90.00°
Atoms (fractional coordinates):
Gd1 0.0000 0.2084 0.7916
Gd2 0.0000 0.7916 0.2084
Y1 0.0000 0.3742 0.3742
Zn1 0.5000 0.0382 0.0382
Zn2 0.5000 0.5442 0.7904
Zn3 0.5000 0.7904 0.5442
Ga1 0.5000 0.1256 0.4573
Ga2 0.5000 0.4573 0.1256
Au1 0.0000 0.7897 0.7897

---

# 9
Below is a geometry-optimized DyMg structure, with properties calculated at the PBE level.

M_tot   0.00 μB/atom
Density   5601 kg/m3
E   -3.065 eV/atom

Cell: 7.1668 5.4055 8.7625 Å, 90.00 101.80 90.00°
Atoms (fractional coordinates):
Dy1 0.0310 0.2500 0.1169
Dy2 0.3046 0.7500 0.2338
Dy3 0.4672 0.7500 0.8742
Dy4 0.5328 0.2500 0.1258
Dy5 0.6954 0.2500 0.7662
Dy6 0.9690 0.7500 0.8831
Mg1 0.1228 0.7500 0.5508
Mg2 0.1936 0.2500 0.7823
Mg3 0.3521 0.2500 0.4600
Mg4 0.6479 0.7500 0.5400
Mg5 0.8064 0.7500 0.2177
Mg6 0.8772 0.2500 0.4492

---

# 10
Below is a geometry-optimized NdReNO structure, with properties calculated at the PBE level.

M_tot   0.00 μB/atom
Density   10213 kg/m3
E above lowest polymorph   483.9 meV per atom

Cell: 3.9449 5.3994 5.5029 Å, 90.00 90.00 90.00°
Atoms (fractional coordinates):
Nd1 0.0000 0.2479 0.0000
Nd2 0.0000 0.7521 0.5000
Re1 0.5000 0.2484 0.5227
Re2 0.5000 0.7516 0.0227
N1 0.5000 0.0177 0.2606
N2 0.5000 0.9823 0.7606
O1 0.0000 0.3284 0.5643
O2 0.0000 0.6716 0.0643

---

# 11
Below is a geometry-optimized KGdNO structure, with properties calculated at the PBE level.

M_tot   0.25 μB/atom
Density   4195 kg/m3
E above lowest polymorph   0.0 meV per atom

Cell: 4.0054 7.2382 6.1806 Å, 90.00 90.00 90.00°
Atoms (fractional coordinates):
K1 0.0000 0.1743 0.0000
K2 0.0000 0.8257 0.5000
Gd1 0.5000 0.3431 0.5283
Gd2 0.5000 0.6569 0.0283
N1 0.0000 0.2010 0.4581
N2 0.0000 0.7990 0.9581
O1 0.5000 0.3901 0.8733
O2 0.5000 0.6099 0.3733

---

# 12
Below is a geometry-optimized HoErAl4 structure, with properties calculated at the PBE level.

M_tot   0.00 μB/atom
Density   5705 kg/m3
E above lowest polymorph   0.0 meV per atom

Cell: 9.9385 9.9385 6.4723 Å, 90.00 90.00 156.37°
Atoms (fractional coordinates):
Ho1 0.0870 0.9130 0.7500
Ho2 0.9130 0.0870 0.2500
Er1 0.2355 0.7645 0.2500
Er2 0.7645 0.2355 0.7500
Al1 0.0717 0.9283 0.2500
Al2 0.3571 0.6429 0.5442
Al3 0.3571 0.6429 0.9558
Al4 0.5000 0.5000 0.0000
Al5 0.5000 0.5000 0.5000
Al6 0.6429 0.3571 0.0442
Al7 0.6429 0.3571 0.4558
Al8 0.9283 0.0717 0.7500

---

# 13
Below is a geometry-optimized NdAgPbO3 structure, with properties calculated at the PBE level.

M_tot   0.00 μB/atom
Density   7875 kg/m3
E   -6.079 eV/atom

Cell: 6.8023 6.8023 8.7536 Å, 90.00 90.00 148.11°
Atoms (fractional coordinates):
Nd1 0.0000 0.0000 0.0000
Nd2 0.0000 0.0000 0.5000
Ag1 0.3638 0.6362 0.7500
Ag2 0.6362 0.3638 0.2500
Pb1 0.3211 0.6789 0.2500
Pb2 0.6789 0.3211 0.7500
O1 0.0712 0.9288 0.7500
O2 0.3858 0.6142 0.5141
O3 0.3858 0.6142 0.9859
O4 0.6142 0.3858 0.0141
O5 0.6142 0.3858 0.4859
O6 0.9288 0.0712 0.2500

---

# 14
Below is a geometry-optimized Ho4Pd3Pt structure, with properties calculated at the PBE level.

M_tot   0.00 μB/atom
Density   11165 kg/m3
Formation enthalpy at 0 K   -8.327 eV per formula unit

Cell: 5.5315 4.5602 6.9221 Å, 90.00 90.06 90.00°
Atoms (fractional coordinates):
Ho1 0.0000 0.0000 0.0000
Ho2 0.2090 0.0000 0.5074
Ho3 0.4946 0.5000 0.1375
Ho4 0.7118 0.5000 0.6389
Pd1 0.0059 0.5000 0.2784
Pd2 0.5130 0.0000 0.8644
Pd3 0.6988 0.0000 0.3601
Pt1 0.1990 0.5000 0.7782

---

# 15
Below is a geometry-optimized RbPaInTe3 structure, with properties calculated at the PBE level.

M_tot   0.17 μB/atom
Density   5317 kg/m3
E   -4.462 eV/atom

Cell: 9.0872 9.0872 12.9043 Å, 90.00 90.00 151.50°
Atoms (fractional coordinates):
Rb1 0.1969 0.8031 0.7500
Rb2 0.8031 0.1969 0.2500
Pa1 0.5000 0.5000 0.0000
Pa2 0.5000 0.5000 0.5000
In1 0.1236 0.8764 0.2500
In2 0.8764 0.1236 0.7500
Te1 0.1189 0.8811 0.5010
Te2 0.1189 0.8811 0.9990
Te3 0.4978 0.5022 0.7500
Te4 0.5022 0.4978 0.2500
Te5 0.8811 0.1189 0.0010
Te6 0.8811 0.1189 0.4990

---

# 16
Below is a geometry-optimized KNa2Ag2 structure, with properties calculated at the PBE level.

Density   3288 kg/m3
E   -1.864 eV/atom

Cell: 7.4187 7.4187 7.4187 Å, 142.26 142.26 54.43°
Atoms (fractional coordinates):
K1 0.0000 0.0000 0.0000
Na1 0.2500 0.7500 0.5000
Na2 0.7500 0.2500 0.5000
Ag1 0.3964 0.3964 0.0000
Ag2 0.6036 0.6036 0.0000

---

# 17
Below is a geometry-optimized TmTlZnO3 structure, with properties calculated at the PBE level.

M_tot   0.00 μB/atom
Density   8640 kg/m3
E   -5.816 eV/atom

Cell: 6.3187 6.3187 8.8822 Å, 90.00 90.00 148.16°
Atoms (fractional coordinates):
Tm1 0.0000 0.0000 0.0000
Tm2 0.0000 0.0000 0.5000
Tl1 0.2979 0.7021 0.7500
Tl2 0.7021 0.2979 0.2500
Zn1 0.4131 0.5869 0.2500
Zn2 0.5869 0.4131 0.7500
O1 0.0255 0.9745 0.2500
O2 0.3861 0.6139 0.0405
O3 0.3861 0.6139 0.4595
O4 0.6139 0.3861 0.5405
O5 0.6139 0.3861 0.9595
O6 0.9745 0.0255 0.7500

---

# 18
Below is a geometry-optimized BaNaSiAu structure, with properties calculated at the PBE level.

Density   6459 kg/m3
E above lowest polymorph   7.5 meV per atom

Cell: 5.1938 5.1938 5.1938 Å, 60.00 60.00 60.00°
Atoms (fractional coordinates):
Ba1 0.0000 0.0000 0.0000
Na1 0.2500 0.2500 0.2500
Si1 0.5000 0.5000 0.5000
Au1 0.7500 0.7500 0.7500

---

# 19
Below is a geometry-optimized Be3Co structure, with properties calculated at the PBE level.

M_tot   0.00 μB/atom
Density   4286 kg/m3
E   -4.802 eV/atom

Cell: 3.6114 3.6114 3.6114 Å, 60.00 60.00 60.00°
Atoms (fractional coordinates):
Be1 0.0000 0.0000 0.0000
Be2 0.2500 0.2500 0.2500
Be3 0.7500 0.7500 0.7500
Co1 0.5000 0.5000 0.5000

---

# 20
Below is a geometry-optimized Zr4Ni3 structure, with properties calculated at the PBE level.

M_tot   0.00 μB/atom
Density   7342 kg/m3
Formation enthalpy at 0 K   -1.422 eV per formula unit
E above lowest polymorph   0.0 meV per atom

Cell: 7.9619 7.9619 4.4565 Å, 90.00 90.00 120.00°
Atoms (fractional coordinates):
Zr1 0.0016 0.7475 0.2500
Zr2 0.2525 0.2541 0.2500
Zr3 0.2541 0.0016 0.7500
Zr4 0.3333 0.6667 0.7500
Zr5 0.6667 0.3333 0.2500
Zr6 0.7459 0.9984 0.2500
Zr7 0.7475 0.7459 0.7500
Zr8 0.9984 0.2525 0.7500
Ni1 0.0788 0.4651 0.2500
Ni2 0.3863 0.9212 0.2500
Ni3 0.4651 0.3863 0.7500
Ni4 0.5349 0.6137 0.2500
Ni5 0.6137 0.0788 0.7500
Ni6 0.9212 0.5349 0.7500